No. 1
The following is a PBE-GGA calculation of crystalline La6Co2Hg at its relaxed geometry, from the Alexandria database.

Its total magnetization is 0.000 μB per cell. Its mass density is 7.536 Mg/m³. Its calculated total energy is -5.069 eV/atom. The energy relative to the elements is -1.55 eV per formula unit.

It has space group C2/m (No. 12), with a = 10.541 Å, b = 5.293 Å, c = 9.224 Å, α = 90.00°, β = 99.49° and γ = 90.00°. The inequivalent atoms are La at (0.081, 0.000, 0.360), La at (0.109, 0.500, 0.660), La at (0.195, 0.500, 0.121), Co at (0.236, 0.500, 0.380) and Hg at (0.000, 0.000, 0.000).

---

No. 2
The following is a PBE-GGA calculation of crystalline NaFeSi at its relaxed geometry, from the Alexandria database.

Its total magnetization is 1.399 μB per cell. Its mass density is 3.320 Mg/m³. Its calculated total energy is -5.143 eV/atom. The value obtained for the formation energy (no corrections) is -0.07 eV per atom.

It has space group P1 (No. 1), with a = 2.699 Å, b = 3.807 Å, c = 10.492 Å, α = 90.05°, β = 97.24° and γ = 90.00°. The inequivalent atoms are Na at (0.000, 0.000, 0.000), Na at (0.339, 0.502, 0.703), Fe at (0.624, 0.999, 0.259), Fe at (0.715, 0.500, 0.444), Si at (0.119, 0.499, 0.248) and Si at (0.220, 0.000, 0.455).

---

No. 3
The following is a PBE-GGA calculation of crystalline BaCrCl2 at its relaxed geometry, from the Alexandria database.

Its total magnetization is 9.046 μB per cell. Its mass density is 3.291 Mg/m³. Its calculated total energy is -4.597 eV/atom. The value obtained for the formation energy (no corrections) is -0.79 eV per atom.

It has space group Cmmm (No. 65), with a = 3.996 Å, b = 7.936 Å, c = 8.281 Å, α = 90.00°, β = 90.00° and γ = 90.00°. The inequivalent atoms are Ba at (0.000, 0.000, 0.000), Cr at (0.000, 0.000, 0.500) and Cl at (0.000, 0.500, 0.298).

---

No. 4
The following is a PBE-GGA calculation of crystalline La2BSbPt6 at its relaxed geometry, from the Alexandria database.

Its total magnetization is 0.000 μB per cell. Its mass density is 13.038 Mg/m³. Its calculated total energy is -6.531 eV/atom. The value obtained for the formation energy (no corrections) is -0.84 eV per atom.

It has space group Cm (No. 8), with a = 12.103 Å, b = 5.721 Å, c = 7.208 Å, α = 90.00°, β = 126.21° and γ = 90.00°. The inequivalent atoms are La at (0.000, 0.000, 0.000), La at (0.051, 0.500, 0.484), B at (0.205, 0.500, 0.205), Sb at (0.248, 0.000, 0.731), Pt at (0.015, 0.500, 0.877), Pt at (0.268, 0.244, 0.058), Pt at (0.300, 0.250, 0.477) and Pt at (0.486, 0.500, 0.416).

---

No. 5
The following is a PBE-GGA calculation of crystalline PrRe4N12 at its relaxed geometry, from the Alexandria database.

Its total magnetization is 0.016 μB per cell. Its mass density is 7.371 Mg/m³. Its calculated total energy is -8.578 eV/atom. The value obtained for the formation energy (no corrections) is 0.51 eV per atom.

It has space group Im-3m (No. 229), with a = 7.801 Å, b = 7.801 Å, c = 7.801 Å, α = 90.00°, β = 90.00° and γ = 90.00°. The inequivalent atoms are Pr at (0.000, 0.000, 0.000), Re at (0.250, 0.250, 0.250) and N at (0.000, 0.247, 0.247).

---

No. 6
The following is a PBE-GGA calculation of crystalline LiCeSbN at its relaxed geometry, from the Alexandria database.

Its total magnetization is 0.824 μB per cell. Its mass density is 6.080 Mg/m³. Its calculated total energy is -5.923 eV/atom. The value obtained for the formation energy (no corrections) is -0.85 eV per atom.

It has space group I4mm (No. 107), with a = 3.281 Å, b = 3.281 Å, c = 14.350 Å, α = 90.00°, β = 90.00° and γ = 90.00°. The inequivalent atoms are Li at (0.000, 0.000, 0.000), Ce at (0.000, 0.000, 0.318), Sb at (0.000, 0.000, 0.624) and N at (0.000, 0.000, 0.863).

---

Which of these has the highest mass density?
La2BSbPt6